This record from Alexandria describes crystalline CaSiMo2 at its relaxed geometry. The functional is PBE-GGA.

Calculated values
Space group = No. 166
Electronic total energy = -6.7364 eV per atom
Magnetization = 0.0 μB per formula unit
Raw formation energy = 52 kJ per mole of atoms

a = 9.5508 Å, b = 9.5508 Å, c = 9.5508 Å
α = 17.73°, β = 17.73°, γ = 17.73°
Closest atoms and distances in Å follow each position.
Sites, in units of the cell vectors:
Ca 0.0000 0.0000 0.0000  6 Ca 2.94, 6 Mo 3.17
Si 0.5000 0.5000 0.5000  6 Mo 2.64, 6 Si 2.94
Mo 0.2385 0.2385 0.2385  3 Si 2.64, 6 Mo 2.94
Mo 0.7615 0.7615 0.7615  3 Si 2.64, 6 Mo 2.94

***

This record from Alexandria describes crystalline CsMg2TiCl8 at its relaxed geometry. The functional is PBE-GGA.

Calculated values
Space group = No. 2
Electronic total energy = -3.9386 eV per atom
Magnetization = 1.0 μB per formula unit
Raw formation energy = -165 kJ per mole of atoms

a = 6.4675 Å, b = 6.4704 Å, c = 9.1764 Å
α = 73.85°, β = 73.89°, γ = 72.10°
Closest atoms and distances in Å follow each position.
Sites, in units of the cell vectors:
Cs 0.0000 0.0000 0.0000  6 Cl 3.41-3.65
Mg 0.4494 0.4489 0.2211  5 Cl 2.41-2.58
Mg 0.5506 0.5511 0.7789  5 Cl 2.41-2.58
Ti 0.0000 0.0000 0.5000  6 Cl 2.38-2.49
Cl 0.1962 0.7297 0.7003  1 Mg 2.44, 1 Ti 2.49
Cl 0.2386 0.2370 0.4590  1 Ti 2.38, 1 Mg 2.52
Cl 0.2692 0.8027 0.3004  1 Mg 2.44, 1 Ti 2.49
Cl 0.3410 0.3383 0.0289  2 Mg 2.41-2.58
Cl 0.6590 0.6617 0.9711  2 Mg 2.41-2.58
Cl 0.7308 0.1973 0.6996  1 Mg 2.44, 1 Ti 2.49
Cl 0.7614 0.7630 0.5410  1 Ti 2.38, 1 Mg 2.52
Cl 0.8038 0.2703 0.2997  1 Mg 2.44, 1 Ti 2.49

***

What is the electronic total energy in the first record?
-6.7364 eV per atom